Below is a relaxed Ta5ZnW4 crystal, with properties calculated at the GGA-PBE level.

## Properties
Total energy, eV for the cell shown: -113.04
SG: No. 123
Formation energy, meV/atom: -69.3
Density of states at the Fermi level, states/eV/f.u.: 6.2

Cell lengths 3.270, 3.270, 15.824 Å; angles 90.00, 90.00, 90.00 degrees
Sites, in units of the cell vectors:
Ta1 0.000 0.000 0.000
Ta2 0.000 0.000 0.204
Ta3 0.000 0.000 0.403
Ta4 0.000 0.000 0.597
Ta5 0.000 0.000 0.796
Zn1 0.500 0.500 0.500
W1 0.500 0.500 0.101
W2 0.500 0.500 0.306
W3 0.500 0.500 0.694
W4 0.500 0.500 0.899

---

Below is a relaxed DyY2Cd8 crystal, with properties calculated at the GGA-PBE level.

## Properties
Total energy, eV for the cell shown: -26.94
SG: No. 71
Formation energy, meV/atom: -190.2
Density of states at the Fermi level, states/eV/f.u.: 6.2

Cell lengths 8.587, 8.587, 8.587 Å; angles 145.54, 129.96, 62.17 degrees
Sites, in units of the cell vectors:
Dy1 0.000 0.000 0.000
Y1 0.303 0.303 0.000
Y2 0.697 0.697 0.000
Cd1 0.150 0.857 0.292
Cd2 0.156 0.656 0.500
Cd3 0.292 0.500 0.792
Cd4 0.435 0.143 0.292
Cd5 0.565 0.857 0.708
Cd6 0.708 0.500 0.208
Cd7 0.844 0.344 0.500
Cd8 0.850 0.143 0.708

---

Below is a relaxed Li2CaMg crystal, with properties calculated at the GGA-PBE level.

## Properties
Total energy, eV for the cell shown: -7.27
SG: No. 10
Formation energy, meV/atom: 38.3
Density of states at the Fermi level, states/eV/f.u.: 2.2

Cell lengths 3.410, 4.995, 6.330 Å; angles 90.00, 99.59, 90.00 degrees
Sites, in units of the cell vectors:
Li1 0.229 0.000 0.288
Li2 0.771 0.000 0.712
Ca1 0.500 0.500 0.000
Mg1 0.000 0.500 0.500

---

Below is a relaxed B5C7 crystal, with properties calculated at the GGA-PBE level.

## Properties
Total energy, eV for the cell shown: -93.49
SG: No. 8
Formation energy, meV/atom: 371.6
Density of states at the Fermi level, states/eV/f.u.: 1.4
Energy above the lowest structure with this stoichiometry, eV/atom: 0.114

Cell lengths 7.157, 7.157, 4.664 Å; angles 107.37, 107.37, 20.43 degrees
Sites, in units of the cell vectors:
B1 0.000 0.000 0.000
B2 0.325 0.325 0.730
B3 0.501 0.501 0.590
B4 0.660 0.660 0.394
B5 0.930 0.930 0.343
C1 0.116 0.116 0.151
C2 0.159 0.159 0.883
C3 0.277 0.277 0.007
C4 0.445 0.445 0.860
C5 0.622 0.622 0.688
C6 0.781 0.781 0.486
C7 0.813 0.813 0.199